1.
A plane-wave DFT calculation with PBE-GGA was carried out for a geometry-optimized K4Ce3PdSe8 structure.

Results
- total magnetization (μB/cell) = 4.0
- E_tot (hartree per atom) = -0.1785
- raw formation energy (eV/atom) = -1.404

Cell: 15.233 8.319 9.061 Å, 90.00 121.68 90.00°
Space group C2/m (No. 12)
One atom of each set of equivalent atoms:
K 0.000 0.000 0.000
K 0.000 0.500 0.000
K 0.250 0.250 0.000
Ce 0.000 0.000 0.500
Ce 0.250 0.250 0.500
Pd 0.000 0.500 0.500
Se 0.018 0.276 0.316
Se 0.231 0.000 0.710
Se 0.234 0.000 0.269

---

2.
A plane-wave DFT calculation with PBE-GGA was carried out for a geometry-optimized Sm3Er structure.

Results
- energy relative to the lowest polymorph listed for this composition (meV/atom) = 10
- total magnetization (μB/cell) = 0.0
- E_tot (hartree per atom) = -0.1710

Cell: 3.658 5.767 6.323 Å, 90.00 90.00 90.00°
Space group Pmm2 (No. 25)
One atom of each set of equivalent atoms:
Sm 0.000 0.000 0.000
Sm 0.000 0.500 0.334
Sm 0.500 0.500 0.834
Er 0.500 0.000 0.501

---

3.
A plane-wave DFT calculation with PBE-GGA was carried out for a geometry-optimized AsPb2Se structure.

Results
- energy relative to the lowest polymorph listed for this composition (meV/atom) = 0
- total magnetization (μB/cell) = 0.0
- E_tot (hartree per atom) = -0.1505
- raw formation energy (eV/atom) = -0.207

Cell: 4.296 6.166 4.296 Å, 90.00 90.00 90.00°
Space group Pmm2 (No. 25)
One atom of each set of equivalent atoms:
As 0.000 0.000 0.000
Pb 0.000 0.500 0.003
Pb 0.500 0.000 0.499
Se 0.500 0.500 0.503

---

4.
A plane-wave DFT calculation with PBE-GGA was carried out for a geometry-optimized La3Al3Cu structure.

Results
- total magnetization (μB/cell) = 0.0
- E_tot (hartree per atom) = -0.1708

Cell: 10.905 4.731 13.902 Å, 90.00 102.73 90.00°
Space group C2/m (No. 12)
One atom of each set of equivalent atoms:
La 0.013 0.000 0.257
La 0.141 0.500 0.131
La 0.177 0.000 0.559
Al 0.020 0.500 0.410
Al 0.112 0.000 0.971
Al 0.189 0.500 0.728
Cu 0.165 0.500 0.906

---

5.
A plane-wave DFT calculation with PBE-GGA was carried out for a geometry-optimized HfTaTi structure.

Results
- energy relative to the lowest polymorph listed for this composition (meV/atom) = 143
- total magnetization (μB/cell) = 0.0
- E_tot (hartree per atom) = -0.3557

Cell: 3.144 3.144 24.540 Å, 90.00 90.00 90.00°
Space group I4/mmm (No. 139)
One atom of each set of equivalent atoms:
Hf 0.000 0.000 0.065
Ta 0.000 0.000 0.214
Ti 0.000 0.000 0.357

---

6.
A plane-wave DFT calculation with PBE-GGA was carried out for a geometry-optimized Ho3Tm4Tl4 structure.

Results
- total magnetization (μB/cell) = 3.0
- E_tot (hartree per atom) = -0.1447

Cell: 3.680 9.520 18.192 Å, 90.00 90.00 90.00°
Space group Immm (No. 71)
One atom of each set of equivalent atoms:
Ho 0.000 0.000 0.000
Ho 0.000 0.500 0.099
Tm 0.000 0.304 0.335
Tl 0.000 0.000 0.262
Tl 0.000 0.221 0.500

---

7.
A plane-wave DFT calculation with PBE-GGA was carried out for a geometry-optimized Ti2Mn3Ge4 structure.

Results
- total magnetization (μB/cell) = 20.2
- E_tot (hartree per atom) = -0.2623

Cell: 5.026 8.700 11.972 Å, 90.00 90.00 90.00°
Space group Fmmm (No. 69)
One atom of each set of equivalent atoms:
Ti 0.000 0.000 0.130
Mn 0.000 0.000 0.500
Mn 0.250 0.250 0.000
Ge 0.000 0.161 0.335

---

8.
A plane-wave DFT calculation with PBE-GGA was carried out for a geometry-optimized PuScNiOs structure.

Results
- total magnetization (μB/cell) = 18.3
- E_tot (hartree per atom) = -0.3545

Cell: 6.574 6.574 6.574 Å, 90.00 90.00 90.00°
Space group F-43m (No. 216)
One atom of each set of equivalent atoms:
Pu 0.000 0.000 0.000
Sc 0.000 0.000 0.500
Ni 0.250 0.250 0.750
Os 0.250 0.250 0.250

---

9.
A plane-wave DFT calculation with PBE-GGA was carried out for a geometry-optimized Ce8SbRh2 structure.

Results
- total magnetization (μB/cell) = 6.3
- E_tot (hartree per atom) = -0.2359
- raw formation energy (eV/atom) = -0.393

Cell: 8.399 13.641 5.174 Å, 90.00 104.16 90.00°
Space group C2/m (No. 12)
One atom of each set of equivalent atoms:
Ce 0.000 0.249 0.000
Ce 0.091 0.500 0.810
Ce 0.182 0.105 0.568
Sb 0.000 0.000 0.000
Rh 0.000 0.303 0.500

---

10.
A plane-wave DFT calculation with PBE-GGA was carried out for a geometry-optimized AlZn2Fe structure.

Results
- total magnetization (μB/cell) = 3.9
- E_tot (hartree per atom) = -0.1375

Cell: 9.589 2.715 4.722 Å, 90.00 117.12 90.00°
Space group Cm (No. 8)
One atom of each set of equivalent atoms:
Al 0.000 0.000 0.000
Zn 0.017 0.500 0.516
Zn 0.260 0.500 0.416
Fe 0.260 0.000 0.932

---

11.
A plane-wave DFT calculation with PBE-GGA was carried out for a geometry-optimized MgSn3Rh3 structure.

Results
- total magnetization (μB/cell) = 0.0
- E_tot (hartree per atom) = -0.2027

Cell: 9.0802 9.0802 5.5012 Å, 90.00 90.00 120.00°
Space group R-3m (No. 166, hexagonal axes)
One atom of each set of equivalent atoms:
Mg 0.0000 0.0000 0.0000
Sn 0.0000 0.5000 0.0000
Rh 0.0000 0.5000 0.5000

---

12.
A plane-wave DFT calculation with PBE-GGA was carried out for a geometry-optimized Pr3TlAg structure.

Results
- energy relative to the lowest polymorph listed for this composition (meV/atom) = 0
- total magnetization (μB/cell) = 1.8
- E_tot (hartree per atom) = -0.1523

Cell: 5.448 20.502 5.445 Å, 90.00 90.00 90.00°
Space group Cmcm (No. 63)
One atom of each set of equivalent atoms:
Pr 0.000 0.060 0.250
Pr 0.000 0.249 0.250
Pr 0.000 0.437 0.250
Tl 0.000 0.153 0.750
Ag 0.000 0.348 0.750